A relaxed structure of Co4Ir, computed with PBE-GGA.

Geometry as POSCAR:
```
Co4Ir
1.0
4.518 0.000 0.000
0.000 4.518 0.000
0.000 0.000 4.518
Co Ir
4 1
Direct
0.000 0.000 0.000 Co
0.000 0.500 0.500 Co
0.500 0.000 0.500 Co
0.500 0.500 0.000 Co
0.500 0.500 0.500 Ir
```

ΔH_f (0 K) (meV per atom): 1653


A relaxed structure of CsNa2H15O9, computed with PBE-GGA.

Geometry as POSCAR:
```
CsNa2H15O9
1.0
14.041 0.000 0.000
0.000 6.102 0.000
0.000 0.000 12.636
Cs Na H O
4 8 60 36
Direct
0.099 0.103 0.000 Cs
0.401 0.103 0.500 Cs
0.599 0.897 0.000 Cs
0.901 0.897 0.500 Cs
0.138 0.744 0.659 Na
0.161 0.242 0.679 Na
0.339 0.242 0.179 Na
0.362 0.744 0.159 Na
0.638 0.256 0.659 Na
0.661 0.758 0.679 Na
0.839 0.758 0.179 Na
0.862 0.256 0.159 Na
0.001 0.877 0.801 H
0.010 0.586 0.111 H
0.014 0.906 0.230 H
0.047 0.430 0.498 H
0.055 0.558 0.840 H
0.073 0.620 0.256 H
0.110 0.315 0.336 H
0.111 0.121 0.466 H
0.167 0.580 0.862 H
0.173 0.570 0.139 H
0.176 0.882 0.223 H
0.182 0.914 0.477 H
0.191 0.626 0.401 H
0.235 0.569 0.034 H
0.246 0.887 0.317 H
0.254 0.887 0.817 H
0.265 0.569 0.534 H
0.309 0.626 0.901 H
0.318 0.914 0.977 H
0.324 0.882 0.723 H
0.327 0.570 0.639 H
0.333 0.580 0.362 H
0.389 0.121 0.966 H
0.390 0.315 0.836 H
0.427 0.620 0.756 H
0.445 0.558 0.340 H
0.453 0.430 0.998 H
0.486 0.906 0.730 H
0.490 0.586 0.611 H
0.499 0.877 0.301 H
0.501 0.123 0.801 H
0.510 0.414 0.111 H
0.514 0.094 0.230 H
0.547 0.570 0.498 H
0.555 0.442 0.840 H
0.573 0.380 0.256 H
0.610 0.685 0.336 H
0.611 0.879 0.466 H
0.667 0.420 0.862 H
0.673 0.430 0.139 H
0.676 0.118 0.223 H
0.682 0.086 0.477 H
0.691 0.374 0.401 H
0.735 0.431 0.034 H
0.746 0.113 0.317 H
0.754 0.113 0.817 H
0.765 0.431 0.534 H
0.809 0.374 0.901 H
0.818 0.086 0.977 H
0.824 0.118 0.723 H
0.827 0.430 0.639 H
0.833 0.420 0.362 H
0.889 0.879 0.966 H
0.890 0.685 0.836 H
0.927 0.380 0.756 H
0.945 0.442 0.340 H
0.953 0.570 0.998 H
0.986 0.094 0.730 H
0.990 0.414 0.611 H
0.999 0.123 0.301 H
0.035 0.981 0.752 O
0.041 0.497 0.570 O
0.053 0.306 0.379 O
0.085 0.710 0.193 O
0.118 0.498 0.819 O
0.144 0.025 0.519 O
0.228 0.493 0.104 O
0.235 0.963 0.247 O
0.245 0.713 0.424 O
0.255 0.713 0.924 O
0.265 0.963 0.747 O
0.272 0.493 0.604 O
0.356 0.025 0.019 O
0.382 0.498 0.319 O
0.415 0.710 0.693 O
0.447 0.306 0.879 O
0.459 0.497 0.070 O
0.465 0.981 0.252 O
0.535 0.019 0.752 O
0.541 0.503 0.570 O
0.553 0.694 0.379 O
0.585 0.290 0.193 O
0.618 0.502 0.819 O
0.644 0.975 0.519 O
0.728 0.507 0.104 O
0.735 0.037 0.247 O
0.745 0.287 0.424 O
0.755 0.287 0.924 O
0.765 0.037 0.747 O
0.772 0.507 0.604 O
0.856 0.975 0.019 O
0.882 0.502 0.319 O
0.915 0.290 0.693 O
0.947 0.694 0.879 O
0.959 0.503 0.070 O
0.965 0.019 0.252 O
```

E_tot (eV for the cell shown): -521.69